Entry 1:
{"formula": "TlH2F2", "functional": "PBE", "state": "relaxed", "dos_at_fermi_per_ev_fu": 1.10, "relative_energy_ev_per_atom": 0.545, "lattice_angstrom": [[2.886, 0.000, 0.000], [0.000, 2.886, 0.000], [0.000, 0.000, 15.823]], "species": ["Tl", "Tl", "H", "H", "H", "H", "F", "F", "F", "F"], "frac_coords": [[0.000, 0.000, 0.000], [0.500, 0.500, 0.500], [0.000, 0.500, 0.250], [0.000, 0.500, 0.750], [0.500, 0.000, 0.250], [0.500, 0.000, 0.750], [0.000, 0.000, 0.290], [0.000, 0.000, 0.710], [0.500, 0.500, 0.210], [0.500, 0.500, 0.790]]}


Entry 2:
{"formula": "Li2AsI", "functional": "PBE", "state": "relaxed", "dos_at_fermi_per_ev_fu": 2.82, "relative_energy_ev_per_atom": 0.127, "lattice_angstrom": [[6.997, 0.000, 0.000], [0.000, 6.997, 0.000], [0.000, 0.000, 6.997]], "species": ["Li", "Li", "Li", "Li", "Li", "Li", "Li", "Li", "As", "As", "As", "As", "I", "I", "I", "I"], "frac_coords": [[0.250, 0.250, 0.250], [0.250, 0.250, 0.750], [0.250, 0.750, 0.250], [0.250, 0.750, 0.750], [0.750, 0.250, 0.250], [0.750, 0.250, 0.750], [0.750, 0.750, 0.250], [0.750, 0.750, 0.750], [0.000, 0.000, 0.000], [0.000, 0.500, 0.500], [0.500, 0.000, 0.500], [0.500, 0.500, 0.000], [0.000, 0.000, 0.500], [0.000, 0.500, 0.000], [0.500, 0.000, 0.000], [0.500, 0.500, 0.500]]}


Entry 3:
{"formula": "Tl2AgMo", "functional": "PBE", "state": "relaxed", "dos_at_fermi_per_ev_fu": 2.90, "e_form_ev_per_atom": 0.59, "relative_energy_ev_per_atom": 0.030, "lattice_angstrom": [[3.148, 0.000, 0.000], [-1.574, 2.726, 0.000], [0.000, 0.000, 29.206]], "species": ["Tl", "Tl", "Tl", "Tl", "Tl", "Tl", "Ag", "Ag", "Ag", "Mo", "Mo", "Mo"], "frac_coords": [[0.000, 0.000, 0.248], [0.000, 0.000, 0.752], [0.333, 0.667, 0.419], [0.333, 0.667, 0.915], [0.667, 0.333, 0.085], [0.667, 0.333, 0.581], [0.000, 0.000, 0.000], [0.333, 0.667, 0.667], [0.667, 0.333, 0.333], [0.000, 0.000, 0.500], [0.333, 0.667, 0.167], [0.667, 0.333, 0.833]]}


Entry 4:
{"formula": "Ag2MoCl", "functional": "PBE", "state": "relaxed", "dos_at_fermi_per_ev_fu": 6.18, "relative_energy_ev_per_atom": 0.701, "lattice_angstrom": [[6.742, 0.000, 0.000], [0.000, 6.742, 0.000], [0.000, 0.000, 6.742]], "species": ["Ag", "Ag", "Ag", "Ag", "Ag", "Ag", "Ag", "Ag", "Mo", "Mo", "Mo", "Mo", "Cl", "Cl", "Cl", "Cl"], "frac_coords": [[0.000, 0.000, 0.000], [0.000, 0.500, 0.500], [0.250, 0.250, 0.250], [0.250, 0.750, 0.750], [0.500, 0.000, 0.500], [0.500, 0.500, 0.000], [0.750, 0.250, 0.750], [0.750, 0.750, 0.250], [0.250, 0.250, 0.750], [0.250, 0.750, 0.250], [0.750, 0.250, 0.250], [0.750, 0.750, 0.750], [0.000, 0.000, 0.500], [0.000, 0.500, 0.000], [0.500, 0.000, 0.000], [0.500, 0.500, 0.500]]}


Entry 5:
{"formula": "DySeI", "functional": "PBE", "state": "relaxed", "dos_at_fermi_per_ev_fu": 0.48, "e_tot_ev_per_atom": -4.57, "lattice_angstrom": [[3.701, 0.000, 0.000], [0.000, 3.701, 0.000], [0.000, 0.000, 14.473]], "species": ["Dy", "Dy", "Se", "Se", "I", "I"], "frac_coords": [[0.000, 0.000, 0.000], [0.500, 0.500, 0.500], [0.000, 0.000, 0.591], [0.500, 0.500, 0.091], [0.000, 0.000, 0.350], [0.500, 0.500, 0.850]]}


Entry 6:
{"formula": "Ac2TbSn3Pd6", "functional": "PBE", "state": "relaxed", "dos_at_fermi_per_ev_fu": 6.48, "e_form_ev_per_atom": -0.56, "lattice_angstrom": [[4.259, 0.000, 0.000], [0.000, 4.259, 0.000], [0.000, 0.000, 17.445]], "species": ["Ac", "Ac", "Tb", "Sn", "Sn", "Sn", "Pd", "Pd", "Pd", "Pd", "Pd", "Pd"], "frac_coords": [[0.000, 0.000, 0.184], [0.000, 0.000, 0.816], [0.000, 0.000, 0.500], [0.500, 0.500, 0.000], [0.500, 0.500, 0.300], [0.500, 0.500, 0.700], [0.000, 0.500, 0.389], [0.000, 0.500, 0.611], [0.500, 0.000, 0.389], [0.500, 0.000, 0.611], [0.500, 0.500, 0.146], [0.500, 0.500, 0.854]]}


Entry 7:
{"formula": "Ti6NbGa3", "functional": "PBE", "state": "relaxed", "dos_at_fermi_per_ev_fu": 12.63, "e_form_ev_per_atom": -0.31, "relative_energy_ev_per_atom": 0.000, "lattice_angstrom": [[7.740, 0.000, 0.000], [0.000, 4.629, 0.000], [-3.343, 0.000, 9.208]], "species": ["Ti", "Ti", "Ti", "Ti", "Ti", "Ti", "Ti", "Ti", "Ti", "Ti", "Ti", "Ti", "Nb", "Nb", "Ga", "Ga", "Ga", "Ga", "Ga", "Ga"], "frac_coords": [[0.043, 0.250, 0.414], [0.146, 0.750, 0.181], [0.252, 0.250, 0.012], [0.347, 0.750, 0.786], [0.351, 0.250, 0.315], [0.416, 0.250, 0.606], [0.584, 0.750, 0.394], [0.649, 0.750, 0.685], [0.653, 0.250, 0.214], [0.748, 0.750, 0.988], [0.854, 0.250, 0.819], [0.957, 0.750, 0.586], [0.449, 0.750, 0.101], [0.551, 0.250, 0.899], [0.051, 0.750, 0.886], [0.144, 0.250, 0.716], [0.272, 0.750, 0.474], [0.728, 0.250, 0.526], [0.856, 0.750, 0.284], [0.949, 0.250, 0.114]]}


Entry 8:
{"formula": "CoAuBr2", "functional": "PBE", "state": "relaxed", "dos_at_fermi_per_ev_fu": 4.98, "relative_energy_ev_per_atom": 0.402, "lattice_angstrom": [[3.786, 0.000, 0.000], [0.000, 3.788, 0.000], [0.000, 0.000, 6.921]], "species": ["Co", "Au", "Br", "Br"], "frac_coords": [[0.000, 0.000, 0.000], [0.000, 0.500, 0.500], [0.500, 0.000, 0.500], [0.500, 0.500, 0.000]]}